VASP calculation (GGA-PBE) on a relaxed Nd2Co2Ge3 crystal.

a = 4.249 Å, b = 6.869 Å, c = 9.279 Å
α = 90.00°, β = 103.23°, γ = 90.00°
Each line ends with the local moment (μB).
Element x y z (fractional)
Nd 0.053 0.750 0.106  -0.01
Nd 0.839 0.750 0.679  -0.03
Nd 0.161 0.250 0.321  -0.03
Nd 0.947 0.250 0.894  -0.01
Co 0.696 0.561 0.392  0.63
Co 0.304 0.061 0.608  0.63
Co 0.696 0.939 0.392  0.63
Co 0.304 0.439 0.608  0.63
Ge 0.567 0.438 0.134  0.01
Ge 0.433 0.938 0.866  0.01
Ge 0.567 0.062 0.134  0.01
Ge 0.222 0.750 0.444  -0.03
Ge 0.433 0.562 0.866  0.01
Ge 0.778 0.250 0.556  -0.03

Symmetry: Cmcm, No. 63
DFT formation energy in eV per atom: -0.550
M_tot in μB per formula unit: 1.2
Calculated total energy in eV/cell: -82.9
Crystal system: orthorhombic